1.
Density functional theory data (PBE-GGA) for a relaxed ZrAg3Ge crystal.

abc: 5.247 5.247 5.247
angles: 90.00 90.00 90.00
Positions (direct):
1 Zr 0.000 0.000 0.000
2 Ag 0.500 0.000 0.000
3 Ag 0.000 0.000 0.500
4 Ag 0.000 0.500 0.000
5 Ge 0.500 0.500 0.500

Values from the calculation:
ΔE to the lowest computed polymorph = 0.741 eV/atom
Energy of formation from the pure elements = 1.318 eV/atom


2.
Density functional theory data (PBE-GGA) for a relaxed KBPbF6 crystal.

abc: 7.272 7.109 7.165
angles: 122.77 139.57 37.65
Positions (direct):
1 B 0.605 0.282 0.551
2 F 0.008 0.155 0.318
3 F 0.621 0.052 0.365
4 F 0.413 0.387 0.631
5 F 0.939 0.659 0.758
6 F 0.394 0.535 0.393
7 F 0.994 0.151 0.799
8 Pb 0.499 0.726 0.266
9 K 0.527 0.052 0.920

Values from the calculation:
E_form (uncorrected) = -2.751 eV/atom


One value per record, in order, for density of states at the Fermi level: 1.243 0.000 states/eV/atom.